(1)
The following is a GGA-PBEsol calculation of V2PC after structural relaxation, from the Alexandria database.

a b c (Å): 3.0373 3.0373 10.8135
angles (deg): 90.00 90.00 120.00
Space group P6_3/mmc (No. 194)
Unique sites:
V (0.3333, 0.6667, 0.0980) x4
P (0.3333, 0.6667, 0.7500) x2
C (0.0000, 0.0000, 0.0000) x2

Properties
Its crystal system is hexagonal. The total energy is -9.461 eV/atom. The calculation puts the density of states at the Fermi level at 3.52 states/eV per cell. For the energy of formation, the calculation gives -75.8 kJ per mole of atoms.

***

(2)
The following is a GGA-PBEsol calculation of V18P9C2 after structural relaxation, from the Alexandria database.

a b c (Å): 16.890 3.152 12.906
angles (deg): 90.00 90.00 90.00
Space group Pmma (No. 51)
Unique sites:
V (0.000, 0.000, 0.000) x2
V (0.000, 0.500, 0.500) x2
V (0.002, 0.000, 0.339) x4
V (0.058, 0.500, 0.154) x4
V (0.122, 0.500, 0.928) x4
V (0.133, 0.000, 0.498) x4
V (0.162, 0.000, 0.740) x4
V (0.170, 0.000, 0.255) x4
V (0.250, 0.000, 0.938) x2
V (0.250, 0.500, 0.100) x2
V (0.250, 0.500, 0.403) x2
V (0.250, 0.500, 0.607) x2
P (0.046, 0.000, 0.829) x4
P (0.102, 0.500, 0.362) x4
P (0.103, 0.500, 0.631) x4
P (0.142, 0.000, 0.066) x4
P (0.250, 0.500, 0.808) x2
C (0.250, 0.000, 0.505) x2
C (0.250, 0.500, 0.250) x2

Properties
Its crystal system is orthorhombic. The total energy is -9.329 eV/atom. The calculation puts the density of states at the Fermi level at 32.96 states/eV per cell. For the energy of formation, the calculation gives -85.5 kJ per mole of atoms.

***

(3)
The following is a GGA-PBEsol calculation of V4P2C after structural relaxation, from the Alexandria database.

a b c (Å): 9.4480 9.4480 3.1197
angles (deg): 90.00 90.00 120.00
Space group P-62m (No. 189)
Unique sites:
V (0.0000, 0.1866, 0.0000) x3
V (0.0000, 0.4664, 0.0000) x3
V (0.2074, 0.7558, 0.5000) x6
P (0.0000, 0.0000, 0.5000) x1
P (0.0000, 0.7183, 0.0000) x3
P (0.3333, 0.6667, 0.0000) x2
C (0.0000, 0.3307, 0.5000) x3

Properties
Its crystal system is hexagonal. The total energy is -9.398 eV/atom. The calculation puts the density of states at the Fermi level at 13.98 states/eV per cell. For the energy of formation, the calculation gives -83.0 kJ per mole of atoms.

***

(4)
The following is a GGA-PBEsol calculation of Zn3PC after structural relaxation, from the Alexandria database.

a b c (Å): 4.504 4.504 4.504
angles (deg): 90.00 90.00 90.00
Space group Pm-3m (No. 221)
Unique sites:
Zn (0.000, 0.000, 0.500) x3
P (0.000, 0.000, 0.000) x1
C (0.500, 0.500, 0.500) x1

Properties
Its crystal system is cubic. The total energy is -2.469 eV/atom. The calculation puts the density of states at the Fermi level at 2.20 states/eV per cell. For the energy of formation, the calculation gives 151.2 kJ per mole of atoms.

***

(5)
The following is a GGA-PBEsol calculation of ZrP3C after structural relaxation, from the Alexandria database.

a b c (Å): 4.070 4.070 4.070
angles (deg): 90.00 90.00 90.00
Space group Pm-3m (No. 221)
Unique sites:
Zr (0.000, 0.000, 0.000) x1
P (0.000, 0.500, 0.500) x3
C (0.500, 0.500, 0.500) x1

Properties
Its crystal system is cubic. The total energy is -6.809 eV/atom. The calculation puts the density of states at the Fermi level at 3.43 states/eV per cell. For the energy of formation, the calculation gives 39.8 kJ per mole of atoms.

***

(6)
The following is a GGA-PBEsol calculation of PaC after structural relaxation, from the Alexandria database.

a b c (Å): 5.036 5.036 5.036
angles (deg): 90.00 90.00 90.00
Space group Fm-3m (No. 225)
Unique sites:
Pa (0.000, 0.000, 0.000) x4
C (0.000, 0.000, 0.500) x4

Properties
Its crystal system is cubic. The total energy is -10.417 eV/atom. The calculation puts the density of states at the Fermi level at 6.56 states/eV per cell. For the energy of formation, the calculation gives -46.3 kJ per mole of atoms.

***

(7)
The following is a GGA-PBEsol calculation of PaC2 after structural relaxation, from the Alexandria database.

a b c (Å): 3.569 3.569 6.087
angles (deg): 90.00 90.00 90.00
Space group I4/mmm (No. 139)
Unique sites:
Pa (0.000, 0.000, 0.000) x2
C (0.000, 0.000, 0.388) x4

Properties
Its crystal system is tetragonal. The total energy is -10.134 eV/atom. The calculation puts the density of states at the Fermi level at 5.03 states/eV per cell. For the energy of formation, the calculation gives -28.5 kJ per mole of atoms.

***

(8)
The following is a GGA-PBEsol calculation of PbC2 after structural relaxation, from the Alexandria database.

a b c (Å): 4.3689 4.3689 4.8401
angles (deg): 90.00 90.00 120.00
Space group P6_3/mmc (No. 194)
Unique sites:
Pb (0.3333, 0.6667, 0.2500) x2
C (0.0000, 0.0000, 0.0000) x2
C (0.3333, 0.6667, 0.7500) x2

Properties
Its crystal system is hexagonal. The total energy is -4.662 eV/atom. The calculation puts the density of states at the Fermi level at 4.21 states/eV per cell. As for the offset from the most stable computed form: 1.871 eV per atom. For the energy of formation, the calculation gives 299.1 kJ per mole of atoms.

***

(9)
The following is a GGA-PBEsol calculation of PbC2 after structural relaxation, from the Alexandria database.

a b c (Å): 3.406 3.406 4.619
angles (deg): 90.00 90.00 90.00
Space group P4/mmm (No. 123)
Unique sites:
Pb (0.000, 0.000, 0.000) x1
C (0.000, 0.000, 0.500) x1
C (0.500, 0.500, 0.000) x1

Properties
Its crystal system is tetragonal. The total energy is -4.292 eV/atom. The calculation puts the density of states at the Fermi level at 1.81 states/eV per cell. As for the offset from the most stable computed form: 2.241 eV per atom. For the energy of formation, the calculation gives 334.8 kJ per mole of atoms.

***

(10)
The following is a GGA-PBEsol calculation of PbC2 after structural relaxation, from the Alexandria database.

a b c (Å): 7.858 3.833 7.309
angles (deg): 90.00 105.93 90.00
Space group C2/m (No. 12)
Unique sites:
Pb (0.241, 0.000, 0.264) x4
C (0.038, 0.500, 0.089) x4
C (0.083, 0.000, 0.515) x4

Properties
Its crystal system is monoclinic. The total energy is -6.533 eV/atom. As for the offset from the most stable computed form: 0.000 eV per atom. For the energy of formation, the calculation gives 118.6 kJ per mole of atoms.

***

(11)
The following is a GGA-PBEsol calculation of PbC5 after structural relaxation, from the Alexandria database.

a b c (Å): 4.9155 4.9155 2.5952
angles (deg): 90.00 90.00 120.00
Space group P6/mmm (No. 191)
Unique sites:
Pb (0.0000, 0.0000, 0.0000) x1
C (0.0000, 0.5000, 0.5000) x3
C (0.3333, 0.6667, 0.0000) x2

Properties
Its crystal system is hexagonal. The total energy is -5.585 eV/atom. The calculation puts the density of states at the Fermi level at 2.02 states/eV per cell. For the energy of formation, the calculation gives 300.8 kJ per mole of atoms.

***

(12)
The following is a GGA-PBEsol calculation of PbC3 after structural relaxation, from the Alexandria database.

a b c (Å): 4.530 4.530 4.530
angles (deg): 90.00 90.00 90.00
Space group Pm-3m (No. 221)
Unique sites:
Pb (0.000, 0.000, 0.000) x1
C (0.000, 0.000, 0.500) x3

Properties
Its crystal system is cubic. The total energy is -3.670 eV/atom. The calculation puts the density of states at the Fermi level at 2.83 states/eV per cell. As for the offset from the most stable computed form: 0.931 eV per atom. For the energy of formation, the calculation gives 440.2 kJ per mole of atoms.

***

(13)
The following is a GGA-PBEsol calculation of PbC2 after structural relaxation, from the Alexandria database.

a b c (Å): 6.879 6.879 6.879
angles (deg): 90.00 90.00 90.00
Space group Fd-3m (No. 227, origin choice 2)
Unique sites:
Pb (0.125, 0.125, 0.125) x8
C (0.000, 0.000, 0.500) x16

Properties
Its crystal system is cubic. The total energy is -4.617 eV/atom. The calculation puts the density of states at the Fermi level at 11.85 states/eV per cell. As for the offset from the most stable computed form: 1.916 eV per atom. For the energy of formation, the calculation gives 303.4 kJ per mole of atoms.

***

(14)
The following is a GGA-PBEsol calculation of PbC7 after structural relaxation, from the Alexandria database.

a b c (Å): 6.827 6.827 6.827
angles (deg): 90.00 90.00 90.00
Space group Fm-3m (No. 225)
Unique sites:
Pb (0.000, 0.000, 0.000) x4
C (0.000, 0.000, 0.500) x4
C (0.000, 0.250, 0.250) x24

Properties
Its crystal system is cubic. The total energy is -4.637 eV/atom. The calculation puts the density of states at the Fermi level at 14.52 states/eV per cell. For the energy of formation, the calculation gives 415.0 kJ per mole of atoms.

***

(15)
The following is a GGA-PBEsol calculation of PbC2 after structural relaxation, from the Alexandria database.

a b c (Å): 2.733 2.733 5.081
angles (deg): 90.00 90.00 90.00
Space group P4/mmm (No. 123)
Unique sites:
Pb (0.000, 0.000, 0.000) x1
C (0.000, 0.500, 0.500) x2

Properties
Its crystal system is tetragonal. The total energy is -5.202 eV/atom. The calculation puts the density of states at the Fermi level at 1.13 states/eV per cell. As for the offset from the most stable computed form: 1.331 eV per atom. For the energy of formation, the calculation gives 247.0 kJ per mole of atoms.

***

(16)
The following is a GGA-PBEsol calculation of PbC3 after structural relaxation, from the Alexandria database.

a b c (Å): 3.821 3.821 3.312
angles (deg): 90.00 90.00 90.00
Space group P4/mmm (No. 123)
Unique sites:
Pb (0.000, 0.000, 0.000) x1
C (0.000, 0.500, 0.500) x2
C (0.500, 0.500, 0.000) x1

Properties
Its crystal system is tetragonal. The total energy is -4.601 eV/atom. The calculation puts the density of states at the Fermi level at 2.46 states/eV per cell. As for the offset from the most stable computed form: 0.000 eV per atom. For the energy of formation, the calculation gives 350.4 kJ per mole of atoms.

***

(17)
The following is a GGA-PBEsol calculation of Re2PdPbC after structural relaxation, from the Alexandria database.

a b c (Å): 3.994 3.994 4.996
angles (deg): 90.00 90.00 90.00
Space group P4/mmm (No. 123)
Unique sites:
Re (0.000, 0.500, 0.000) x2
Pd (0.000, 0.000, 0.500) x1
Pb (0.500, 0.500, 0.500) x1
C (0.500, 0.500, 0.000) x1

Properties
Its crystal system is tetragonal. The total energy is -8.425 eV/atom. The calculation puts the density of states at the Fermi level at 4.81 states/eV per cell. For the energy of formation, the calculation gives 79.9 kJ per mole of atoms.

***

(18)
The following is a GGA-PBEsol calculation of TaPd2PbC after structural relaxation, from the Alexandria database.

a b c (Å): 4.955 4.955 4.071
angles (deg): 90.00 90.00 90.00
Space group P4/mmm (No. 123)
Unique sites:
Ta (0.000, 0.000, 0.000) x1
Pd (0.000, 0.500, 0.000) x2
Pb (0.500, 0.500, 0.500) x1
C (0.000, 0.000, 0.500) x1

Properties
Its crystal system is tetragonal. The total energy is -6.633 eV/atom. The calculation puts the density of states at the Fermi level at 3.08 states/eV per cell. For the energy of formation, the calculation gives 95.5 kJ per mole of atoms.

***

(19)
The following is a GGA-PBEsol calculation of PtPb3C after structural relaxation, from the Alexandria database.

a b c (Å): 5.277 5.277 5.277
angles (deg): 90.00 90.00 90.00
Space group Pm-3m (No. 221)
Unique sites:
Pt (0.000, 0.000, 0.000) x1
Pb (0.000, 0.000, 0.500) x3
C (0.500, 0.500, 0.500) x1

Properties
Its crystal system is cubic. The total energy is -4.211 eV/atom. The calculation puts the density of states at the Fermi level at 2.50 states/eV per cell. For the energy of formation, the calculation gives 145.7 kJ per mole of atoms.

***

(20)
The following is a GGA-PBEsol calculation of Rh3PbC after structural relaxation, from the Alexandria database.

a b c (Å): 4.892 4.892 4.892
angles (deg): 90.00 90.00 90.00
Space group Pm-3m (No. 221)
Unique sites:
Rh (0.000, 0.000, 0.500) x3
Pb (0.000, 0.000, 0.000) x1
C (0.500, 0.500, 0.500) x1

Properties
Its crystal system is cubic. The total energy is -4.520 eV/atom. The calculation puts the density of states at the Fermi level at 8.11 states/eV per cell. For the energy of formation, the calculation gives 298.3 kJ per mole of atoms.